# YCdFe | Alexandria via LeMat-Bulk | PBE-GGA | relaxed
data_YCdFe
_chemical_formula_sum 'Y2 Cd2 Fe2'
_symmetry_space_group_name_H-M 'I 4 m m'
_symmetry_Int_Tables_number 107
_symmetry_space_group_name_Hall 'I 4 -2'
_cell_length_a 3.427
_cell_length_b 3.427
_cell_length_c 10.682
_cell_angle_alpha 90.00
_cell_angle_beta 90.00
_cell_angle_gamma 90.00
loop_
_atom_site_label
_atom_site_type_symbol
_atom_site_fract_x
_atom_site_fract_y
_atom_site_fract_z
_atom_site_occupancy
Y1 Y 0.000 0.000 0.000 1
Cd1 Cd 0.000 0.000 0.706 1
Fe1 Fe 0.000 0.000 0.338 1
# formation energy from the elements = 0.09 eV/atom
# magnetic moment = 0.642 μB per atom

***

# Ba2Nb3O8 | Alexandria via LeMat-Bulk | PBE-GGA | relaxed
data_Ba2Nb3O8
_chemical_formula_sum 'Ba2 Nb3 O8'
_symmetry_space_group_name_H-M 'P 4/m m m'
_symmetry_Int_Tables_number 123
_symmetry_space_group_name_Hall '-P 4 2'
_cell_length_a 4.079
_cell_length_b 4.079
_cell_length_c 11.539
_cell_angle_alpha 90.00
_cell_angle_beta 90.00
_cell_angle_gamma 90.00
loop_
_atom_site_label
_atom_site_type_symbol
_atom_site_fract_x
_atom_site_fract_y
_atom_site_fract_z
_atom_site_occupancy
Ba1 Ba 0.000 0.000 0.189 1
Nb1 Nb 0.500 0.500 0.000 1
Nb2 Nb 0.500 0.500 0.364 1
O1 O 0.000 0.500 0.000 1
O2 O 0.000 0.500 0.361 1
O3 O 0.500 0.500 0.179 1
# magnetic moment = 0.075 μB per atom
# formation energy without anion corrections = -244.61 kJ/mol of atoms

***

# CaAg2SnBr6 | Alexandria via LeMat-Bulk | PBE-GGA | relaxed
data_CaAg2SnBr6
_chemical_formula_sum 'Ca3 Ag6 Sn3 Br18'
_symmetry_space_group_name_H-M 'R 3'
_symmetry_Int_Tables_number 146
_symmetry_space_group_name_Hall 'R 3'
_cell_length_a 7.3644
_cell_length_b 7.3644
_cell_length_c 20.8052
_cell_angle_alpha 90.00
_cell_angle_beta 90.00
_cell_angle_gamma 120.00
loop_
_atom_site_label
_atom_site_type_symbol
_atom_site_fract_x
_atom_site_fract_y
_atom_site_fract_z
_atom_site_occupancy
Ca1 Ca 0.0000 0.0000 0.0000 1
Ag1 Ag 0.0000 0.0000 0.3250 1
Ag2 Ag 0.0000 0.0000 0.7407 1
Sn1 Sn 0.0000 0.0000 0.5173 1
Br1 Br 0.0014 0.6715 0.9219 1
Br2 Br 0.0277 0.3386 0.0812 1
# magnetic moment = 0.000 μB per atom
# formation energy without anion corrections = -91.38 kJ/mol of atoms

***

# CsAg2 | Alexandria via LeMat-Bulk | PBE-GGA | relaxed
data_CsAg2
_chemical_formula_sum 'Cs4 Ag8'
_symmetry_space_group_name_H-M 'I 4/m c m'
_symmetry_Int_Tables_number 140
_symmetry_space_group_name_Hall '-I 4 2c'
_cell_length_a 5.590
_cell_length_b 5.590
_cell_length_c 12.526
_cell_angle_alpha 90.00
_cell_angle_beta 90.00
_cell_angle_gamma 90.00
loop_
_atom_site_label
_atom_site_type_symbol
_atom_site_fract_x
_atom_site_fract_y
_atom_site_fract_z
_atom_site_occupancy
Cs1 Cs 0.000 0.000 0.250 1
Ag1 Ag 0.180 0.320 0.000 1
# formation energy from the elements = 0.08 eV/atom
# magnetic moment = 0.000 μB per atom

***

# DyScGa4 | Alexandria via LeMat-Bulk | PBE-GGA | relaxed
data_DyScGa4
_chemical_formula_sum 'Dy2 Sc2 Ga8'
_symmetry_space_group_name_H-M 'I m m m'
_symmetry_Int_Tables_number 71
_symmetry_space_group_name_Hall '-I 2 2'
_cell_length_a 4.351
_cell_length_b 6.956
_cell_length_c 7.579
_cell_angle_alpha 90.00
_cell_angle_beta 90.00
_cell_angle_gamma 90.00
loop_
_atom_site_label
_atom_site_type_symbol
_atom_site_fract_x
_atom_site_fract_y
_atom_site_fract_z
_atom_site_occupancy
Dy1 Dy 0.000 0.000 0.000 1
Sc1 Sc 0.000 0.500 0.000 1
Ga1 Ga 0.000 0.237 0.334 1
# formation energy from the elements = -0.57 eV/atom
# magnetic moment = 0.000 μB per atom
# excess energy over the best structure of this formula in the dataset = 0.0 kJ per mole of atoms

***

# CrCd2Ag | Alexandria via LeMat-Bulk | PBE-GGA | relaxed
data_CrCd2Ag
_chemical_formula_sum 'Cr1 Cd2 Ag1'
_symmetry_space_group_name_H-M 'P 4 m m'
_symmetry_Int_Tables_number 99
_cell_length_a 3.196
_cell_length_b 3.196
_cell_length_c 7.566
_cell_angle_alpha 90.00
_cell_angle_beta 90.00
_cell_angle_gamma 90.00
loop_
_symmetry_equiv_pos_as_xyz
'x,y,z'
'-y,x,z'
'-x,-y,z'
'y,-x,z'
'-x,y,z'
'y,x,z'
'x,-y,z'
'-y,-x,z'
loop_
_atom_site_label
_atom_site_type_symbol
_atom_site_fract_x
_atom_site_fract_y
_atom_site_fract_z
_atom_site_occupancy
Cr1 Cr 0.000 0.000 0.000 1
Cd1 Cd 0.000 0.000 0.476 1
Cd2 Cd 0.500 0.500 0.758 1
Ag1 Ag 0.500 0.500 0.226 1
# formation energy from the elements = 0.26 eV/atom
# magnetic moment = 0.992 μB per atom

***

# GeBiCS2 | Alexandria via LeMat-Bulk | PBE-GGA | relaxed
data_GeBiCS2
_chemical_formula_sum 'Ge1 Bi1 C1 S2'
_symmetry_space_group_name_H-M 'P 4/m m m'
_symmetry_Int_Tables_number 123
_symmetry_space_group_name_Hall '-P 4 2'
_cell_length_a 4.507
_cell_length_b 4.507
_cell_length_c 5.970
_cell_angle_alpha 90.00
_cell_angle_beta 90.00
_cell_angle_gamma 90.00
loop_
_atom_site_label
_atom_site_type_symbol
_atom_site_fract_x
_atom_site_fract_y
_atom_site_fract_z
_atom_site_occupancy
Ge1 Ge 0.000 0.000 0.000 1
Bi1 Bi 0.000 0.000 0.500 1
C1 C 0.500 0.500 0.500 1
S1 S 0.000 0.500 0.000 1
# magnetic moment = 0.283 μB per atom
# excess energy over the best structure of this formula in the dataset = 58.5 kJ per mole of atoms
# formation energy without anion corrections = 164.59 kJ/mol of atoms

***

# DyTmTe3 | Alexandria via LeMat-Bulk | PBE-GGA | relaxed
data_DyTmTe3
_chemical_formula_sum 'Dy4 Tm4 Te12'
_symmetry_space_group_name_H-M 'C m c m'
_symmetry_Int_Tables_number 63
_symmetry_space_group_name_Hall '-C 2c 2'
_cell_length_a 4.209
_cell_length_b 14.082
_cell_length_c 10.677
_cell_angle_alpha 90.00
_cell_angle_beta 90.00
_cell_angle_gamma 90.00
loop_
_atom_site_label
_atom_site_type_symbol
_atom_site_fract_x
_atom_site_fract_y
_atom_site_fract_z
_atom_site_occupancy
Dy1 Dy 0.000 0.247 0.250 1
Tm1 Tm 0.000 0.000 0.000 1
Te1 Te 0.000 0.095 0.750 1
Te2 Te 0.000 0.352 0.566 1
# magnetic moment = 0.000 μB per atom
# excess energy over the best structure of this formula in the dataset = 0.6 kJ per mole of atoms
# formation energy without anion corrections = -129.22 kJ/mol of atoms

***

# BaB2N2 | Alexandria via LeMat-Bulk | PBE-GGA | relaxed
data_BaB2N2
_chemical_formula_sum 'Ba4 B8 N8'
_symmetry_space_group_name_H-M 'I 4/m c m'
_symmetry_Int_Tables_number 140
_symmetry_space_group_name_Hall '-I 4 2c'
_cell_length_a 5.063
_cell_length_b 5.063
_cell_length_c 10.372
_cell_angle_alpha 90.00
_cell_angle_beta 90.00
_cell_angle_gamma 90.00
loop_
_atom_site_label
_atom_site_type_symbol
_atom_site_fract_x
_atom_site_fract_y
_atom_site_fract_z
_atom_site_occupancy
Ba1 Ba 0.000 0.000 0.250 1
B1 B 0.140 0.360 0.000 1
N1 N 0.159 0.341 0.500 1
# magnetic moment = 0.000 μB per atom
# formation energy without anion corrections = -61.68 kJ/mol of atoms

***

# TlSn2Se2 | Alexandria via LeMat-Bulk | PBE-GGA | relaxed
data_TlSn2Se2
_chemical_formula_sum 'Tl4 Sn8 Se8'
_symmetry_space_group_name_H-M 'C 1 2/c 1'
_symmetry_Int_Tables_number 15
_cell_length_a 7.723
_cell_length_b 15.481
_cell_length_c 6.410
_cell_angle_alpha 90.00
_cell_angle_beta 126.13
_cell_angle_gamma 90.00
loop_
_symmetry_equiv_pos_as_xyz
'x,y,z'
'-x,-y,-z'
'-x,y,-z+1/2'
'x,-y,z+1/2'
'x+1/2,y+1/2,z'
'-x+1/2,-y+1/2,-z'
'-x+1/2,y+1/2,-z+1/2'
'x+1/2,-y+1/2,z+1/2'
loop_
_atom_site_label
_atom_site_type_symbol
_atom_site_fract_x
_atom_site_fract_y
_atom_site_fract_z
_atom_site_occupancy
Tl1 Tl 0.000 0.130 0.250 1
Sn1 Sn 0.172 0.427 0.061 1
Se1 Se 0.000 0.185 0.750 1
Se2 Se 0.000 0.331 0.250 1
# magnetic moment = 0.000 μB per atom
# excess energy over the best structure of this formula in the dataset = 0.0 kJ per mole of atoms
# formation energy without anion corrections = -21.20 kJ/mol of atoms

***

# Ba2Li2MgAg | Alexandria via LeMat-Bulk | PBE-GGA | relaxed
data_Ba2Li2MgAg
_chemical_formula_sum 'Ba8 Li8 Mg4 Ag4'
_symmetry_space_group_name_H-M 'I b a m'
_symmetry_Int_Tables_number 72
_symmetry_space_group_name_Hall '-I 2 2c'
_cell_length_a 7.110
_cell_length_b 16.193
_cell_length_c 7.174
_cell_angle_alpha 90.00
_cell_angle_beta 90.00
_cell_angle_gamma 90.00
loop_
_atom_site_label
_atom_site_type_symbol
_atom_site_fract_x
_atom_site_fract_y
_atom_site_fract_z
_atom_site_occupancy
Ba1 Ba 0.243 0.161 0.000 1
Li1 Li 0.228 0.082 0.500 1
Mg1 Mg 0.000 0.500 0.250 1
Ag1 Ag 0.000 0.000 0.250 1
# formation energy from the elements = -0.07 eV/atom
# magnetic moment = 0.000 μB per atom

***

# Cr2SbOs | Alexandria via LeMat-Bulk | PBE-GGA | relaxed
data_Cr2SbOs
_chemical_formula_sum 'Cr4 Sb2 Os2'
_symmetry_space_group_name_H-M 'I m m m'
_symmetry_Int_Tables_number 71
_symmetry_space_group_name_Hall '-I 2 2'
_cell_length_a 3.161
_cell_length_b 4.283
_cell_length_c 8.592
_cell_angle_alpha 90.00
_cell_angle_beta 90.00
_cell_angle_gamma 90.00
loop_
_atom_site_label
_atom_site_type_symbol
_atom_site_fract_x
_atom_site_fract_y
_atom_site_fract_z
_atom_site_occupancy
Cr1 Cr 0.000 0.000 0.245 1
Sb1 Sb 0.000 0.500 0.500 1
Os1 Os 0.000 0.500 0.000 1
# magnetic moment = 0.000 μB per atom
# formation energy without anion corrections = 42.77 kJ/mol of atoms

***

# CeYCd14 | Alexandria via LeMat-Bulk | PBE-GGA | relaxed
data_CeYCd14
_chemical_formula_sum 'Ce1 Y1 Cd14'
_symmetry_space_group_name_H-M 'P 4/m m m'
_symmetry_Int_Tables_number 123
_symmetry_space_group_name_Hall '-P 4 2'
_cell_length_a 6.664
_cell_length_b 6.664
_cell_length_c 8.441
_cell_angle_alpha 90.00
_cell_angle_beta 90.00
_cell_angle_gamma 90.00
loop_
_atom_site_label
_atom_site_type_symbol
_atom_site_fract_x
_atom_site_fract_y
_atom_site_fract_z
_atom_site_occupancy
Ce1 Ce 0.000 0.000 0.000 1
Y1 Y 0.500 0.500 0.000 1
Cd1 Cd 0.000 0.000 0.500 1
Cd2 Cd 0.000 0.500 0.000 1
Cd3 Cd 0.000 0.500 0.500 1
Cd4 Cd 0.253 0.253 0.261 1
Cd5 Cd 0.500 0.500 0.500 1
# formation energy from the elements = -0.12 eV/atom
# magnetic moment = 0.068 μB per atom

***

# CsZn2I2 | Alexandria via LeMat-Bulk | PBE-GGA | relaxed
data_CsZn2I2
_chemical_formula_sum 'Cs2 Zn4 I4'
_symmetry_space_group_name_H-M 'I 4/m m m'
_symmetry_Int_Tables_number 139
_symmetry_space_group_name_Hall '-I 4 2'
_cell_length_a 4.166
_cell_length_b 4.166
_cell_length_c 20.681
_cell_angle_alpha 90.00
_cell_angle_beta 90.00
_cell_angle_gamma 90.00
loop_
_atom_site_label
_atom_site_type_symbol
_atom_site_fract_x
_atom_site_fract_y
_atom_site_fract_z
_atom_site_occupancy
Cs1 Cs 0.000 0.000 0.000 1
Zn1 Zn 0.000 0.500 0.250 1
I1 I 0.000 0.000 0.381 1
# magnetic moment = 0.000 μB per atom
# excess energy over the best structure of this formula in the dataset = 7.1 kJ per mole of atoms
# formation energy without anion corrections = -38.14 kJ/mol of atoms

***

# Hg3Cl4 | Alexandria via LeMat-Bulk | PBE-GGA | relaxed
data_Hg3Cl4
_chemical_formula_sum 'Hg6 Cl8'
_symmetry_space_group_name_H-M 'I 4/m m m'
_symmetry_Int_Tables_number 139
_symmetry_space_group_name_Hall '-I 4 2'
_cell_length_a 3.497
_cell_length_b 3.497
_cell_length_c 29.297
_cell_angle_alpha 90.00
_cell_angle_beta 90.00
_cell_angle_gamma 90.00
loop_
_atom_site_label
_atom_site_type_symbol
_atom_site_fract_x
_atom_site_fract_y
_atom_site_fract_z
_atom_site_occupancy
Hg1 Hg 0.000 0.000 0.000 1
Hg2 Hg 0.000 0.000 0.287 1
Cl1 Cl 0.000 0.000 0.163 1
Cl2 Cl 0.000 0.000 0.445 1
# magnetic moment = 0.000 μB per atom
# formation energy without anion corrections = -16.10 kJ/mol of atoms

***

# TcAgBr2 | Alexandria via LeMat-Bulk | PBE-GGA | relaxed
data_TcAgBr2
_chemical_formula_sum 'Tc1 Ag1 Br2'
_symmetry_space_group_name_H-M 'P 4/m m m'
_symmetry_Int_Tables_number 123
_symmetry_space_group_name_Hall '-P 4 2'
_cell_length_a 3.536
_cell_length_b 3.536
_cell_length_c 7.004
_cell_angle_alpha 90.00
_cell_angle_beta 90.00
_cell_angle_gamma 90.00
loop_
_atom_site_label
_atom_site_type_symbol
_atom_site_fract_x
_atom_site_fract_y
_atom_site_fract_z
_atom_site_occupancy
Tc1 Tc 0.000 0.000 0.000 1
Ag1 Ag 0.000 0.000 0.500 1
Br1 Br 0.500 0.500 0.240 1
# magnetic moment = 1.017 μB per atom
# excess energy over the best structure of this formula in the dataset = 34.1 kJ per mole of atoms
# formation energy without anion corrections = 54.44 kJ/mol of atoms

***

# RbTl2VCl8 | Alexandria via LeMat-Bulk | PBE-GGA | relaxed
data_RbTl2VCl8
_chemical_formula_sum 'Rb1 Tl2 V1 Cl8'
_symmetry_space_group_name_H-M 'P -1'
_symmetry_Int_Tables_number 2
_cell_length_a 6.098
_cell_length_b 7.532
_cell_length_c 9.184
_cell_angle_alpha 90.05
_cell_angle_beta 90.04
_cell_angle_gamma 113.29
loop_
_symmetry_equiv_pos_as_xyz
'x,y,z'
'-x,-y,-z'
loop_
_atom_site_label
_atom_site_type_symbol
_atom_site_fract_x
_atom_site_fract_y
_atom_site_fract_z
_atom_site_occupancy
Rb1 Rb 0.000 0.000 0.000 1
Tl1 Tl 0.003 0.501 0.243 1
V1 V 0.000 0.000 0.500 1
Cl1 Cl 0.225 0.821 0.501 1
Cl2 Cl 0.240 0.202 0.677 1
Cl3 Cl 0.241 0.200 0.323 1
Cl4 Cl 0.293 0.711 0.999 1
# magnetic moment = 0.006 μB per atom
# formation energy without anion corrections = -110.29 kJ/mol of atoms

***

# PrEr2Sc | Alexandria via LeMat-Bulk | PBE-GGA | relaxed
data_PrEr2Sc
_chemical_formula_sum 'Pr3 Er6 Sc3'
_symmetry_space_group_name_H-M 'R 3 m'
_symmetry_Int_Tables_number 160
_symmetry_space_group_name_Hall 'R 3 -2"'
_cell_length_a 3.5242
_cell_length_b 3.5242
_cell_length_c 33.8614
_cell_angle_alpha 90.00
_cell_angle_beta 90.00
_cell_angle_gamma 120.00
loop_
_atom_site_label
_atom_site_type_symbol
_atom_site_fract_x
_atom_site_fract_y
_atom_site_fract_z
_atom_site_occupancy
Pr1 Pr 0.0000 0.0000 0.0000 1
Er1 Er 0.0000 0.0000 0.5779 1
Er2 Er 0.0000 0.0000 0.7542 1
Sc1 Sc 0.0000 0.0000 0.1656 1
# formation energy from the elements = 0.05 eV/atom
# magnetic moment = 0.000 μB per atom
# excess energy over the best structure of this formula in the dataset = 2.0 kJ per mole of atoms

***

# MnSe2Cl | Alexandria via LeMat-Bulk | PBE-GGA | relaxed
data_MnSe2Cl
_chemical_formula_sum 'Mn2 Se4 Cl2'
_symmetry_space_group_name_H-M 'C m m m'
_symmetry_Int_Tables_number 65
_symmetry_space_group_name_Hall '-C 2 2'
_cell_length_a 4.882
_cell_length_b 9.138
_cell_length_c 4.448
_cell_angle_alpha 90.00
_cell_angle_beta 90.00
_cell_angle_gamma 90.00
loop_
_atom_site_label
_atom_site_type_symbol
_atom_site_fract_x
_atom_site_fract_y
_atom_site_fract_z
_atom_site_occupancy
Mn1 Mn 0.000 0.000 0.000 1
Se1 Se 0.250 0.250 0.500 1
Cl1 Cl 0.000 0.500 0.000 1
# magnetic moment = 1.000 μB per atom
# excess energy over the best structure of this formula in the dataset = 60.5 kJ per mole of atoms
# formation energy without anion corrections = 15.47 kJ/mol of atoms

***

# MgTc2Se | Alexandria via LeMat-Bulk | PBE-GGA | relaxed
data_MgTc2Se
_chemical_formula_sum 'Mg2 Tc4 Se2'
_symmetry_space_group_name_H-M 'C m m 2'
_symmetry_Int_Tables_number 35
_cell_length_a 3.114
_cell_length_b 4.807
_cell_length_c 8.867
_cell_angle_alpha 90.00
_cell_angle_beta 90.00
_cell_angle_gamma 90.00
loop_
_symmetry_equiv_pos_as_xyz
'x,y,z'
'-x,-y,z'
'-x,y,z'
'x,-y,z'
'x+1/2,y+1/2,z'
'-x+1/2,-y+1/2,z'
'-x+1/2,y+1/2,z'
'x+1/2,-y+1/2,z'
loop_
_atom_site_label
_atom_site_type_symbol
_atom_site_fract_x
_atom_site_fract_y
_atom_site_fract_z
_atom_site_occupancy
Mg1 Mg 0.000 0.000 0.000 1
Tc1 Tc 0.000 0.000 0.481 1
Tc2 Tc 0.000 0.500 0.252 1
Se1 Se 0.000 0.500 0.727 1
# magnetic moment = 0.000 μB per atom
# excess energy over the best structure of this formula in the dataset = 29.1 kJ per mole of atoms
# formation energy without anion corrections = 29.11 kJ/mol of atoms